K3Y3AlSe8 PBE optimized geometry; raw total energy = -5.0914 eV/atom; space-group type = R-3m (166); theoretical density = 3.8 g/cm³; formation energy (no corrections) = -1.4712 eV per atom
1.0
4.071 2.350 7.934
-4.071 2.350 7.934
0.000 -4.700 7.934
K Y Al Se
3 3 1 8
Direct
0.000 0.500 0.500
0.500 0.000 0.500
0.500 0.500 0.000
0.000 0.000 0.500
0.000 0.500 0.000
0.500 0.000 0.000
0.500 0.500 0.500
0.236 0.236 0.236
0.256 0.718 0.718
0.282 0.282 0.744
0.282 0.744 0.282
0.718 0.256 0.718
0.718 0.718 0.256
0.744 0.282 0.282
0.764 0.764 0.764